The following is a DFT calculation (GGA-PBE) of a relaxed structure of PrSbH.

Computed properties:
space-group type = Fdd2, No. 43
DOS(E_F) = 0.4 states/eV/cell
density = 6.2 g cm⁻³
V = 282 Å³ per cell
ΔE to the lowest computed polymorph = 0.065 eV per atom

a b c (Å): 7.9083 7.9083 6.5935
angles (deg): 112.81 112.82 110.70
Atoms (fractional coordinates):
Sb (0.4879, 0.9734, 0.9595)
Sb (0.7784, 0.7639, 0.5405)
Sb (0.2361, 0.2216, 0.4595)
Sb (0.0266, 0.5121, 0.0405)
H (0.8018, 0.1139, 0.4135)
H (0.6383, 0.4504, 0.0865)
H (0.8861, 0.1982, 0.5865)
H (0.5496, 0.3616, 0.9135)
Pr (0.7419, 0.7196, 0.9893)
Pr (0.2804, 0.2581, 0.0107)
Pr (0.0026, 0.4803, 0.5107)
Pr (0.5197, 0.9974, 0.4893)